## AgH6Pd6 (PBE)

Data for an optimized crystal structure of AgH6Pd6.

abc: 5.281 5.281 5.281
angles: 90.00 90.00 90.00
Space group Pm-3 (No. 200)
Unique sites:
Ag 0.000 0.000 0.000 [1 per cell]
H 0.000 0.500 0.253 [6 per cell]
Pd 0.000 0.249 0.500 [6 per cell]

Output
Its density is 8.484 g cm⁻³. As for the density of states at the Fermi level: 4.600 states/eV per cell. The calculation puts the energy at -4.1267 eV per atom.

## AgH4Pd4 (PBE)

Data for an optimized crystal structure of AgH4Pd4.

abc: 10.417 3.329 7.394
angles: 90.00 133.62 90.00
Space group C2/m (No. 12)
Unique sites:
Ag 0.000 0.000 0.000 [2 per cell]
H 0.150 0.500 0.849 [4 per cell]
H 0.195 0.000 0.543 [4 per cell]
Pd 0.097 0.500 0.396 [4 per cell]
Pd 0.203 0.000 0.801 [4 per cell]

Output
Its density is 9.617 g cm⁻³. As for the density of states at the Fermi level: 5.564 states/eV per cell. The calculation puts the energy at -4.1960 eV per atom.

## AgHPd4 (PBE)

Data for an optimized crystal structure of AgHPd4.

abc: 13.556 5.557 4.726
angles: 90.00 109.78 90.00
Space group C2/m (No. 12)
Unique sites:
Ag 0.192 0.000 0.191 [4 per cell]
H 0.081 0.500 0.836 [4 per cell]
Pd 0.000 0.249 0.000 [4 per cell]
Pd 0.111 0.248 0.608 [8 per cell]
Pd 0.193 0.500 0.197 [4 per cell]

Output
Its density is 10.598 g cm⁻³. As for the density of states at the Fermi level: 22.311 states/eV per cell. The energy above the most stable polymorph in this dataset comes out at 6 kJ/mol of formula units.

## AgH6Pd5 (PBE)

Data for an optimized crystal structure of AgH6Pd5.

abc: 5.210 8.870 5.153
angles: 90.00 102.08 90.00
Space group C2/m (No. 12)
Unique sites:
Ag 0.000 0.000 0.000 [2 per cell]
H 0.130 0.500 0.861 [4 per cell]
H 0.148 0.329 0.355 [8 per cell]
Pd 0.000 0.163 0.500 [4 per cell]
Pd 0.000 0.332 0.000 [4 per cell]
Pd 0.000 0.500 0.500 [2 per cell]

Output
Its density is 9.213 g cm⁻³. As for the density of states at the Fermi level: 5.896 states/eV per cell. The energy above the most stable polymorph in this dataset comes out at 18 kJ/mol of formula units.

## AgH2Pd (PBE)

Data for an optimized crystal structure of AgH2Pd.

abc: 2.9571 2.9571 15.9747
angles: 90.00 90.00 120.00
Space group R3m (No. 160, hexagonal axes)
Unique sites:
Ag 0.0000 0.0000 0.0000 [3 per cell]
H 0.0000 0.0000 0.2111 [3 per cell]
H 0.0000 0.0000 0.4396 [3 per cell]
Pd 0.0000 0.0000 0.8246 [3 per cell]

Output
Its density is 8.907 g cm⁻³. As for the density of states at the Fermi level: 2.504 states/eV per cell. The energy above the most stable polymorph in this dataset comes out at 13 kJ/mol of formula units.

## Ag5HPd2 (PBE)

Data for an optimized crystal structure of Ag5HPd2.

abc: 2.878 9.625 17.784
angles: 90.00 90.00 90.00
Space group Cmcm (No. 63)
Unique sites:
Ag 0.000 0.052 0.250 [4 per cell]
Ag 0.000 0.136 0.536 [8 per cell]
Ag 0.000 0.407 0.607 [8 per cell]
H 0.000 0.180 0.750 [4 per cell]
Pd 0.000 0.321 0.174 [8 per cell]

Output
Its density is 10.157 g cm⁻³. As for the density of states at the Fermi level: 10.411 states/eV per cell. The calculation puts the energy at -3.5195 eV per atom.

## AgHPd (PBE)

Data for an optimized crystal structure of AgHPd.

abc: 3.796 3.796 6.141
angles: 90.00 90.00 90.00
Space group I4mm (No. 107)
Unique sites:
Ag 0.000 0.000 0.000 [2 per cell]
H 0.000 0.000 0.295 [2 per cell]
Pd 0.000 0.000 0.559 [2 per cell]

Output
Its density is 8.079 g cm⁻³. As for the density of states at the Fermi level: 1.082 states/eV per cell. The energy above the most stable polymorph in this dataset comes out at 130 kJ/mol of formula units.

## AgH6Pd8 (PBE)

Data for an optimized crystal structure of AgH6Pd8.

abc: 7.9843 7.9843 2.8827
angles: 90.00 90.00 120.00
Space group P-3 (No. 147)
Unique sites:
Ag 0.0000 0.0000 0.0000 [1 per cell]
H 0.1477 0.7166 0.8275 [6 per cell]
Pd 0.0188 0.3423 0.6779 [6 per cell]
Pd 0.3333 0.6667 0.1176 [2 per cell]

Output
Its density is 10.072 g cm⁻³. As for the density of states at the Fermi level: 6.004 states/eV per cell. The energy above the most stable polymorph in this dataset comes out at 0 kJ/mol of formula units.

## AgHPd (PBE)

Data for an optimized crystal structure of AgHPd.

abc: 3.0695 3.0695 4.5633
angles: 90.00 90.00 120.00
Space group P3m1 (No. 156)
Unique sites:
Ag 0.0000 0.0000 0.0000 [1 per cell]
H 0.3333 0.6667 0.5018 [1 per cell]
Pd 0.6667 0.3333 0.4999 [1 per cell]

Output
Its density is 9.601 g cm⁻³. As for the density of states at the Fermi level: 0.315 states/eV per cell. The energy above the most stable polymorph in this dataset comes out at 0 kJ/mol of formula units.

## Ag3HPd (PBE)

Data for an optimized crystal structure of Ag3HPd.

abc: 5.156 5.156 5.156
angles: 90.00 90.00 90.00
Space group Pm-3m (No. 221)
Unique sites:
Ag 0.000 0.000 0.500 [3 per cell]
H 0.500 0.500 0.500 [1 per cell]
Pd 0.000 0.000 0.000 [1 per cell]

Output
Its density is 5.223 g cm⁻³. As for the density of states at the Fermi level: 2.398 states/eV per cell. The energy above the most stable polymorph in this dataset comes out at 559 kJ/mol of formula units.

## AgH4Pd5 (PBE)

Data for an optimized crystal structure of AgH4Pd5.

abc: 12.923 2.962 5.962
angles: 90.00 105.12 90.00
Space group C2/m (No. 12)
Unique sites:
Ag 0.000 0.000 0.000 [2 per cell]
H 0.088 0.500 0.540 [4 per cell]
H 0.247 0.000 0.852 [4 per cell]
Pd 0.000 0.000 0.500 [2 per cell]
Pd 0.163 0.500 0.842 [4 per cell]
Pd 0.167 0.500 0.337 [4 per cell]

Output
Its density is 9.709 g cm⁻³. As for the density of states at the Fermi level: 7.014 states/eV per cell. The energy above the most stable polymorph in this dataset comes out at 0 kJ/mol of formula units.

## AgH2Pd2 (PBE)

Data for an optimized crystal structure of AgH2Pd2.

abc: 5.404 2.979 6.962
angles: 90.00 91.49 90.00
Space group C2/m (No. 12)
Unique sites:
Ag 0.000 0.000 0.000 [2 per cell]
H 0.159 0.500 0.381 [4 per cell]
Pd 0.167 0.500 0.675 [4 per cell]

Output
Its density is 9.565 g cm⁻³. As for the density of states at the Fermi level: 2.924 states/eV per cell. The energy above the most stable polymorph in this dataset comes out at 1 kJ/mol of formula units.

density of number 4 (AgH6Pd5)? 9.213 g cm⁻³